CsYV2O8 PBE+U optimized geometry; M_tot = 2.02 Bohr magnetons per cell; total energy = -7.138 eV per atom
1.0
5.9802 0.0000 0.0000
-2.9901 5.1790 0.0000
0.0000 0.0000 8.4728
Cs Y V O
1 1 2 8
Direct
0.0000 0.0000 0.0000
0.0000 0.0000 0.5000
0.3333 0.6667 0.7262
0.6667 0.3333 0.2738
0.1736 0.3471 0.6606
0.1736 0.8264 0.6606
0.3333 0.6667 0.9281
0.3471 0.1736 0.3394
0.6529 0.8264 0.6606
0.6667 0.3333 0.0719
0.8264 0.1736 0.3394
0.8264 0.6529 0.3394